(w)
{
  "formula": "Ho4MgHg2",
  "functional": "PBE",
  "state": "optimized geometry",
  "rho_g_cm3": 9.47,
  "spacegroup": "No. 166",
  "lattice_angstrom": [[2.595, 1.498, 8.158], [-2.595, 1.498, 8.158], [0.000, -2.997, 8.158]],
  "species": ["Ho", "Ho", "Ho", "Ho", "Mg", "Hg", "Hg"],
  "fractional_positions": [[0.110, 0.110, 0.110], [0.366, 0.366, 0.366], [0.634, 0.634, 0.634], [0.890, 0.890, 0.890], [0.500, 0.500, 0.500], [0.240, 0.240, 0.240], [0.760, 0.760, 0.760]]
}

(x)
{
  "formula": "Ho4MgHg2",
  "functional": "PBE",
  "state": "optimized geometry",
  "rho_g_cm3": 8.71,
  "spacegroup": "No. 166",
  "lattice_angstrom": [[2.610, 1.507, 8.764], [-2.610, 1.507, 8.764], [0.000, -3.014, 8.764]],
  "species": ["Ho", "Ho", "Ho", "Ho", "Mg", "Hg", "Hg"],
  "fractional_positions": [[0.126, 0.126, 0.126], [0.283, 0.283, 0.283], [0.717, 0.717, 0.717], [0.874, 0.874, 0.874], [0.500, 0.500, 0.500], [0.398, 0.398, 0.398], [0.602, 0.602, 0.602]]
}

Referenced to the most stable arrangement, the calculated values in eV/atom are (w) 0.000; (x) 0.155.

(w)
{
  "formula": "HoMg2Hg3",
  "functional": "PBE",
  "state": "optimized geometry",
  "rho_g_cm3": 10.02,
  "spacegroup": "No. 164",
  "lattice_angstrom": [[5.030, 0.000, 0.000], [-2.515, 4.356, 0.000], [0.000, 0.000, 12.336]],
  "species": ["Ho", "Ho", "Mg", "Mg", "Mg", "Mg", "Hg", "Hg", "Hg", "Hg", "Hg", "Hg"],
  "fractional_positions": [[0.333, 0.667, 0.164], [0.667, 0.333, 0.836], [0.000, 0.000, 0.000], [0.000, 0.000, 0.500], [0.333, 0.667, 0.664], [0.667, 0.333, 0.336], [0.000, 0.000, 0.258], [0.000, 0.000, 0.742], [0.333, 0.667, 0.417], [0.333, 0.667, 0.915], [0.667, 0.333, 0.085], [0.667, 0.333, 0.583]]
}

(x)
{
  "formula": "HoMg2Hg3",
  "functional": "PBE",
  "state": "optimized geometry",
  "rho_g_cm3": 10.00,
  "spacegroup": "No. 123",
  "lattice_angstrom": [[3.536, 0.000, 0.000], [0.000, 3.536, 0.000], [0.000, 0.000, 10.834]],
  "species": ["Ho", "Mg", "Mg", "Hg", "Hg", "Hg"],
  "fractional_positions": [[0.000, 0.000, 0.000], [0.000, 0.000, 0.343], [0.000, 0.000, 0.657], [0.500, 0.500, 0.181], [0.500, 0.500, 0.500], [0.500, 0.500, 0.819]]
}

Referenced to the most stable arrangement, the calculated values in eV/atom are (w) 0.000; (x) 0.041.